## Hg2Pb2WO6 (PBE with a Hubbard U)

Data for an optimized crystal structure of Hg2Pb2WO6.

```
Hg2Pb2WO6
1.0
2.943 -5.402 0.000
2.943 5.402 0.000
-1.258 0.000 7.049
Hg Pb W O
2 2 1 6
Direct
0.221 0.779 0.000
0.779 0.221 0.000
0.336 0.664 0.500
0.664 0.336 0.500
0.000 0.000 0.500
0.035 0.770 0.660
0.230 0.965 0.340
0.315 0.315 0.647
0.685 0.685 0.353
0.770 0.035 0.660
0.965 0.230 0.340
```

Size of the total moment: 0.00 μB per cell
Space-group type: C2/m
E: -5.143 eV per atom